[1]
SmMgAgCl6 GGA-PBE relaxed; ΔE_f (raw) = -1475 kJ/mol of formula units; space group = No. 163
1.0
6.7197 0.0000 0.0000
-3.3599 5.8194 0.0000
0.0000 0.0000 12.1715
Sm Mg Ag Cl
2 2 2 12
direct
0.3333 0.6667 0.2500 Sm
0.6667 0.3333 0.7500 Sm
0.3333 0.6667 0.7500 Mg
0.6667 0.3333 0.2500 Mg
0.0000 0.0000 0.0000 Ag
0.0000 0.0000 0.5000 Ag
0.0211 0.3610 0.6305 Cl
0.0211 0.6601 0.8695 Cl
0.3399 0.3610 0.8695 Cl
0.3399 0.9789 0.6305 Cl
0.3610 0.0211 0.1305 Cl
0.3610 0.3399 0.3695 Cl
0.6390 0.6601 0.6305 Cl
0.6390 0.9789 0.8695 Cl
0.6601 0.0211 0.3695 Cl
0.6601 0.6390 0.1305 Cl
0.9789 0.3399 0.1305 Cl
0.9789 0.6390 0.3695 Cl

[2]
MgAg2SnCl6 GGA-PBE relaxed; ΔE_f (raw) = -966 kJ/mol of formula units; space group = No. 1
1.0
6.8796 0.0000 0.0000
3.4372 5.9609 0.0000
3.4394 -1.9808 6.1738
Mg Ag Sn Cl
1 2 1 6
direct
0.0000 0.0000 0.0000 Mg
0.5855 0.2079 0.6207 Ag
0.6151 0.6929 0.0758 Ag
0.0117 0.4950 0.4824 Sn
0.1220 0.0870 0.2547 Cl
0.1266 0.2473 0.7799 Cl
0.4664 0.6271 0.7803 Cl
0.5364 0.3776 0.2544 Cl
0.8308 0.7917 0.2545 Cl
0.8466 0.9075 0.7794 Cl

[3]
MgAgSnCl5 GGA-PBE relaxed; ΔE_f (raw) = -867 kJ/mol of formula units; space group = No. 15
1.0
4.9789 -5.0457 0.0000
4.9789 5.0457 0.0000
-4.2327 0.0000 9.0853
Mg Ag Sn Cl
2 2 2 10
direct
0.0000 0.5000 0.0000 Mg
0.5000 0.0000 0.5000 Mg
0.0119 0.9881 0.7500 Ag
0.9881 0.0119 0.2500 Ag
0.4302 0.5698 0.7500 Sn
0.5698 0.4302 0.2500 Sn
0.1265 0.6739 0.8535 Cl
0.2524 0.7476 0.2500 Cl
0.2568 0.2692 0.9798 Cl
0.2692 0.2568 0.4798 Cl
0.3261 0.8735 0.6465 Cl
0.6739 0.1265 0.3535 Cl
0.7308 0.7432 0.5202 Cl
0.7432 0.7308 0.0202 Cl
0.7476 0.2524 0.7500 Cl
0.8735 0.3261 0.1465 Cl

[4]
MgTl3Ag2Cl6 GGA-PBE relaxed; ΔE_f (raw) = -949 kJ/mol of formula units; space group = No. 164
1.0
7.2056 0.0000 0.0000
-3.6028 6.2402 0.0000
0.0000 0.0000 7.4728
Mg Tl Ag Cl
1 3 2 6
direct
0.0000 0.0000 0.0000 Mg
0.0000 0.0000 0.5000 Tl
0.3333 0.6667 0.1536 Tl
0.6667 0.3333 0.8464 Tl
0.3333 0.6667 0.5733 Ag
0.6667 0.3333 0.4267 Ag
0.1677 0.3354 0.8122 Cl
0.1677 0.8323 0.8122 Cl
0.3354 0.1677 0.1878 Cl
0.6646 0.8323 0.8122 Cl
0.8323 0.1677 0.1878 Cl
0.8323 0.6646 0.1878 Cl

[5]
Mg2Tl3AgCl8 GGA-PBE relaxed; ΔE_f (raw) = -1683 kJ/mol of formula units; space group = No. 164
1.0
7.3486 0.0000 0.0000
-3.6743 6.3641 0.0000
0.0000 0.0000 9.1072
Mg Tl Ag Cl
2 3 1 8
direct
0.3333 0.6667 0.1982 Mg
0.6667 0.3333 0.8018 Mg
0.0000 0.0000 0.0000 Tl
0.3333 0.6667 0.6205 Tl
0.6667 0.3333 0.3795 Tl
0.0000 0.0000 0.5000 Ag
0.1647 0.3293 0.3038 Cl
0.1647 0.8353 0.3038 Cl
0.3293 0.1647 0.6962 Cl
0.3333 0.6667 0.9453 Cl
0.6667 0.3333 0.0547 Cl
0.6707 0.8353 0.3038 Cl
0.8353 0.1647 0.6962 Cl
0.8353 0.6707 0.6962 Cl

[6]
Mg2TlAgCl6 GGA-PBE relaxed; ΔE_f (raw) = -1317 kJ/mol of formula units; space group = No. 15
1.0
6.7925 -6.8232 0.0000
6.7925 6.8232 0.0000
-2.4616 0.0000 7.0044
Mg Tl Ag Cl
4 2 2 12
direct
0.1126 0.2639 0.1996 Mg
0.2639 0.1126 0.6996 Mg
0.7361 0.8874 0.3004 Mg
0.8874 0.7361 0.8004 Mg
0.3909 0.6091 0.7500 Tl
0.6091 0.3909 0.2500 Tl
0.2606 0.7394 0.2500 Ag
0.7394 0.2606 0.7500 Ag
0.0795 0.1806 0.4676 Cl
0.1082 0.6472 0.9219 Cl
0.1806 0.0795 0.9676 Cl
0.2910 0.4516 0.3073 Cl
0.3528 0.8918 0.5781 Cl
0.4516 0.2910 0.8073 Cl
0.5484 0.7090 0.1927 Cl
0.6472 0.1082 0.4219 Cl
0.7090 0.5484 0.6927 Cl
0.8194 0.9205 0.0324 Cl
0.8918 0.3528 0.0781 Cl
0.9205 0.8194 0.5324 Cl

[7]
MgTl2AgCl5 GGA-PBE relaxed; ΔE_f (raw) = -1004 kJ/mol of formula units; space group = No. 36
1.0
1.9765 -9.6086 0.0000
1.9765 9.6086 0.0000
0.0000 0.0000 13.4105
Mg Tl Ag Cl
2 4 2 10
direct
0.2185 0.7815 0.5000 Mg
0.7815 0.2185 0.0000 Mg
0.1111 0.8889 0.1581 Tl
0.1309 0.8691 0.7833 Tl
0.8691 0.1309 0.2833 Tl
0.8889 0.1111 0.6581 Tl
0.4400 0.5600 0.9147 Ag
0.5600 0.4400 0.4147 Ag
0.0888 0.9112 0.5324 Cl
0.2735 0.7265 0.1270 Cl
0.2945 0.7055 0.8747 Cl
0.3474 0.6526 0.4819 Cl
0.4961 0.5039 0.2559 Cl
0.5039 0.4961 0.7559 Cl
0.6526 0.3474 0.9819 Cl
0.7055 0.2945 0.3747 Cl
0.7265 0.2735 0.6270 Cl
0.9112 0.0888 0.0324 Cl

[8]
MgTl2AgCl6 GGA-PBE relaxed; ΔE_f (raw) = -989 kJ/mol of formula units; space group = No. 14
1.0
7.1802 0.0000 0.0000
0.0000 7.4636 0.0000
-7.0407 0.0000 9.8477
Mg Tl Ag Cl
2 4 2 12
direct
0.0000 0.0000 0.0000 Mg
0.0000 0.5000 0.5000 Mg
0.2248 0.0664 0.7476 Tl
0.2248 0.4336 0.2476 Tl
0.7752 0.5664 0.7524 Tl
0.7752 0.9336 0.2524 Tl
0.5000 0.0000 0.5000 Ag
0.5000 0.5000 0.0000 Ag
0.1493 0.2168 0.4577 Cl
0.1493 0.2832 0.9577 Cl
0.2339 0.6884 0.4555 Cl
0.2339 0.8116 0.9555 Cl
0.3447 0.0146 0.2521 Cl
0.3447 0.4854 0.7521 Cl
0.6553 0.5146 0.2479 Cl
0.6553 0.9854 0.7479 Cl
0.7661 0.1884 0.0445 Cl
0.7661 0.3116 0.5445 Cl
0.8507 0.7168 0.0423 Cl
0.8507 0.7832 0.5423 Cl

[9]
MgTlAg2Cl6 GGA-PBE relaxed; ΔE_f (raw) = -881 kJ/mol of formula units; space group = No. 15
1.0
5.8472 -7.5383 0.0000
5.8472 7.5383 0.0000
-3.6920 0.0000 7.2539
Mg Tl Ag Cl
2 2 4 12
direct
0.1833 0.8167 0.7500 Mg
0.8167 0.1833 0.2500 Mg
0.1134 0.8866 0.2500 Tl
0.8866 0.1134 0.7500 Tl
0.2963 0.4594 0.3513 Ag
0.4594 0.2963 0.8513 Ag
0.5406 0.7037 0.1487 Ag
0.7037 0.5406 0.6487 Ag
0.0563 0.2109 0.1976 Cl
0.1442 0.6465 0.4582 Cl
0.2109 0.0563 0.6976 Cl
0.3119 0.4476 0.0197 Cl
0.3535 0.8558 0.0418 Cl
0.4476 0.3119 0.5197 Cl
0.5524 0.6881 0.4803 Cl
0.6465 0.1442 0.9582 Cl
0.6881 0.5524 0.9803 Cl
0.7891 0.9437 0.3024 Cl
0.8558 0.3535 0.5418 Cl
0.9437 0.7891 0.8024 Cl

[10]
TmMgAgCl6 GGA-PBE relaxed; ΔE_f (raw) = -1489 kJ/mol of formula units; space group = No. 163
1.0
6.5866 0.0000 0.0000
-3.2933 5.7042 0.0000
0.0000 0.0000 12.2158
Tm Mg Ag Cl
2 2 2 12
direct
0.3333 0.6667 0.2500 Tm
0.6667 0.3333 0.7500 Tm
0.3333 0.6667 0.7500 Mg
0.6667 0.3333 0.2500 Mg
0.0000 0.0000 0.0000 Ag
0.0000 0.0000 0.5000 Ag
0.0099 0.3589 0.6321 Cl
0.0099 0.6510 0.8679 Cl
0.3490 0.3589 0.8679 Cl
0.3490 0.9901 0.6321 Cl
0.3589 0.0099 0.1321 Cl
0.3589 0.3490 0.3679 Cl
0.6411 0.6510 0.6321 Cl
0.6411 0.9901 0.8679 Cl
0.6510 0.0099 0.3679 Cl
0.6510 0.6411 0.1321 Cl
0.9901 0.3490 0.1321 Cl
0.9901 0.6411 0.3679 Cl

[11]
MnAg4Cl6 GGA-PBE relaxed; ΔE_f (raw) = -634 kJ/mol of formula units; space group = No. 9
1.0
6.4087 -3.7714 0.0000
6.4087 3.7714 0.0000
-3.9959 0.0000 12.1717
Mn Ag Cl
2 8 12
direct
0.2373 0.7627 0.5000 Mn
0.7627 0.2373 0.0000 Mn
0.0054 0.8447 0.7441 Ag
0.1704 0.3810 0.2473 Ag
0.3510 0.7833 0.0892 Ag
0.3810 0.1704 0.7473 Ag
0.6400 0.8651 0.4354 Ag
0.7833 0.3510 0.5892 Ag
0.8447 0.0054 0.2441 Ag
0.8651 0.6400 0.9354 Ag
0.0126 0.4895 0.7502 Cl
0.0409 0.5760 0.4397 Cl
0.0458 0.0869 0.4422 Cl
0.0869 0.0458 0.9422 Cl
0.0974 0.6605 0.1294 Cl
0.3410 0.8112 0.6904 Cl
0.4895 0.0126 0.2502 Cl
0.5470 0.5576 0.4258 Cl
0.5576 0.5470 0.9258 Cl
0.5760 0.0409 0.9397 Cl
0.6605 0.0974 0.6294 Cl
0.8112 0.3410 0.1904 Cl

[12]
MnAg2Cl GGA-PBE relaxed; ΔE_f (raw) = 169 kJ/mol of formula units; energy relative to the lowest polymorph listed for this composition = 491 meV per atom; space group = No. 225
1.0
0.0000 3.3653 3.3653
3.3653 0.0000 3.3653
3.3653 3.3653 0.0000
Mn Ag Cl
1 2 1
direct
0.0000 0.0000 0.0000 Mn
0.2500 0.2500 0.2500 Ag
0.7500 0.7500 0.7500 Ag
0.5000 0.5000 0.5000 Cl

Question: Number 12 is which compound?
Answer: MnAg2Cl